1.
KFeRu PBE-GGA optimized geometry; energy of formation = 2.464 eV per atom; V = 23.5 Å³/atom; Fermi-level density of states = 7.28 states/eV/f.u.; symmetry = No. 216; total magnetization = 4.83 Bohr magnetons per cell; crystal system = cubic
1.0
0.0000 3.2771 3.2771
3.2771 0.0000 3.2771
3.2771 3.2771 0.0000
K Fe Ru
1 1 1
Cartesian
0.0000 0.0000 0.0000 K
4.9157 4.9157 4.9157 Fe
1.6386 1.6386 1.6386 Ru

2.
HfHg2PdN PBE-GGA optimized geometry; V = 21.3 Å³/atom; Fermi-level density of states = 5.84 states/eV/f.u.; symmetry = No. 123; total magnetization = 0.00 Bohr magnetons per cell; raw formation energy = 0.836 eV/atom; crystal system = tetragonal
1.0
5.3964 0.0000 0.0000
0.0000 5.3964 0.0000
0.0000 0.0000 3.6649
Hf Hg Pd N
1 2 1 1
Cartesian
0.0000 0.0000 0.0000 Hf
0.0000 2.6982 1.8324 Hg
2.6982 0.0000 1.8324 Hg
2.6982 2.6982 1.8324 Pd
2.6982 2.6982 0.0000 N

3.
Ac3DyMn2N6 PBE-GGA optimized geometry; V = 17.8 Å³/atom; Fermi-level density of states = 1.83 states/eV/f.u.; symmetry = No. 164; total magnetization = 3.99 Bohr magnetons per cell; raw formation energy = -0.917 eV/atom; crystal system = trigonal
1.0
5.9637 0.0000 0.0000
-2.9819 5.1647 0.0000
0.0000 0.0000 6.9253
Ac Dy Mn N
3 1 2 6
Cartesian
0.0000 0.0000 0.0000 Ac
0.0000 3.4432 4.6351 Ac
2.9819 1.7216 2.2901 Ac
0.0000 0.0000 3.4626 Dy
0.0000 3.4432 1.4399 Mn
2.9819 1.7216 5.4854 Mn
0.0000 1.7949 2.0118 N
-1.4274 4.2673 2.0118 N
1.5545 0.8975 4.9135 N
1.4274 4.2673 2.0118 N
4.4093 0.8975 4.9135 N
2.9819 3.3698 4.9135 N

4.
TbMg8Co2 PBE-GGA optimized geometry; energy of formation = 0.157 eV per atom; V = 21.5 Å³/atom; Fermi-level density of states = 8.86 states/eV/f.u.; symmetry = No. 12; total magnetization = 0.00 Bohr magnetons per cell; crystal system = monoclinic
1.0
3.9532 -5.9894 0.0000
3.9532 5.9894 0.0000
-1.2254 0.0000 4.9888
Tb Mg Co
1 8 2
Cartesian
0.0000 0.0000 0.0000 Tb
0.8777 1.5842 2.8747 Mg
3.9532 2.7665 0.0000 Mg
0.8777 -1.5842 2.8747 Mg
3.0361 0.0000 1.1405 Mg
3.6449 0.0000 3.8483 Mg
5.8033 1.5842 2.1140 Mg
3.9532 -2.7665 0.0000 Mg
5.8033 -1.5842 2.1140 Mg
3.3405 2.2961 2.4944 Co
3.3405 -2.2961 2.4944 Co

Number 1: raw total energy -3.814 eV per atom. Number 2: raw total energy -3.979 eV per atom. Number 3: raw total energy -8.019 eV per atom. Number 4: raw total energy -2.716 eV per atom.